Entry A
{"formula": "CrBrCl2", "functional": "GGA-PBE", "state": "relaxed", "magmom_total_mub_per_fu": 3.0, "lattice_angstrom": [[-3.5753, 2.8268, -1.6955], [-1.3666, -0.3375, -4.6547], [-4.3093, -1.9475, -1.1338]], "species": ["Cl", "Br", "Cl", "Cr"], "fractional_positions": [[0.2500, 0.2500, 0.2500], [0.5000, 0.5000, 0.5000], [0.0000, 0.0000, 0.0000], [0.7500, 0.7500, 0.7500]]}

Entry B
{"formula": "CrBrCl2", "functional": "GGA-PBE", "state": "relaxed", "magmom_total_mub_per_fu": 4.6, "lattice_angstrom": [[3.7005, 0.0000, 0.0000], [0.0000, 6.5031, 0.0000], [0.0000, 0.0000, 3.9998]], "species": ["Cl", "Cl", "Br", "Cr"], "fractional_positions": [[0.5000, 0.5000, 0.0000], [0.0000, 0.0000, 0.0000], [0.0000, 0.5000, 0.5000], [0.5000, 0.0000, 0.5000]]}

Entry C
{"formula": "CrBrCl2", "functional": "GGA-PBE", "state": "relaxed", "magmom_total_mub_per_fu": 4.3, "lattice_angstrom": [[-1.0332, 1.3873, 2.6976], [0.9267, -2.5691, 1.6762], [8.3259, 3.8066, 1.2312]], "species": ["Br", "Cl", "Cl", "Cr"], "fractional_positions": [[0.5000, 0.5000, 0.6714], [0.5000, 0.5000, 0.3368], [0.0000, 0.0000, 0.9989], [0.0000, 0.0000, 0.4929]]}

entry C has the most favorable energy; the next structure is 143 meV per atom above.